DFT (PBE) results for a geometry-optimized Pm7YSn5 structure.

Summary:
* magnetic moment: 0.00 μB per formula unit
* ΔE_f: -0.47 eV/atom
* space-group type: Imm2
* DOS(E_F): 1.23 states/eV/atom

Unit cell a=8.4511 b=8.4511 c=8.4511 alpha=134.38 beta=97.69 gamma=99.60
Element x y z (fractional)
Pm 0.0000 0.0000 0.0000
Pm 0.0861 0.7573 0.3288
Pm 0.3423 0.3423 0.0000
Pm 0.4285 0.7573 0.6712
Pm 0.5098 0.0098 0.5000
Pm 0.6018 0.2676 0.3343
Pm 0.9333 0.2676 0.6657
Y 0.6630 0.6630 0.0000
Sn 0.0147 0.5147 0.5000
Sn 0.2773 0.2759 0.5288
Sn 0.2773 0.7485 0.0014
Sn 0.7471 0.2759 0.9986
Sn 0.7471 0.7485 0.4712


DFT (PBE) results for a geometry-optimized PmY2Sn structure.

Summary:
* magnetic moment: 0.00 μB per formula unit
* ΔE_f: -0.15 eV/atom
* space-group type: R3m
* DOS(E_F): 1.32 states/eV/atom
* energy above the lowest structure with this stoichiometry: 272.9 meV/atom

Unit cell a=5.1739 b=5.1739 c=17.1426 alpha=90.00 beta=90.00 gamma=120.00
Element x y z (fractional)
Pm 0.0000 0.0000 0.0000
Pm 0.3333 0.6667 0.6667
Pm 0.6667 0.3333 0.3333
Y 0.0000 0.0000 0.2169
Y 0.0000 0.0000 0.4425
Y 0.3333 0.6667 0.1092
Y 0.3333 0.6667 0.8835
Y 0.6667 0.3333 0.5502
Y 0.6667 0.3333 0.7758
Sn 0.0000 0.0000 0.8021
Sn 0.3333 0.6667 0.4688
Sn 0.6667 0.3333 0.1355


DFT (PBE) results for a geometry-optimized Pm8YSn2 structure.

Summary:
* magnetic moment: 0.00 μB per formula unit
* ΔE_f: -0.18 eV/atom
* space-group type: C2/m
* DOS(E_F): 1.36 states/eV/atom

Unit cell a=8.9848 b=8.9848 c=6.3996 alpha=94.10 beta=94.10 gamma=44.83
Element x y z (fractional)
Pm 0.0836 0.0836 0.3997
Pm 0.1456 0.6554 0.0929
Pm 0.2886 0.2886 0.6662
Pm 0.3446 0.8544 0.9071
Pm 0.6554 0.1456 0.0929
Pm 0.7114 0.7114 0.3338
Pm 0.8544 0.3446 0.9071
Pm 0.9164 0.9164 0.6003
Y 0.5000 0.5000 0.5000
Sn 0.2438 0.2438 0.1697
Sn 0.7562 0.7562 0.8303


DFT (PBE) results for a geometry-optimized Pm2YSn structure.

Summary:
* magnetic moment: 0.81 μB per formula unit
* ΔE_f: -0.01 eV/atom
* space-group type: R-3m
* DOS(E_F): 1.57 states/eV/atom
* energy above the lowest structure with this stoichiometry: 434.1 meV/atom

Unit cell a=3.5143 b=3.5143 c=36.0787 alpha=90.00 beta=90.00 gamma=120.00
Element x y z (fractional)
Pm 0.0000 0.0000 0.0940
Pm 0.0000 0.0000 0.9060
Pm 0.3333 0.6667 0.5726
Pm 0.3333 0.6667 0.7607
Pm 0.6667 0.3333 0.2393
Pm 0.6667 0.3333 0.4274
Y 0.0000 0.0000 0.0000
Y 0.3333 0.6667 0.6667
Y 0.6667 0.3333 0.3333
Sn 0.0000 0.0000 0.5000
Sn 0.3333 0.6667 0.1667
Sn 0.6667 0.3333 0.8333


DFT (PBE) results for a geometry-optimized Pm12YSn7 structure.

Summary:
* magnetic moment: 0.00 μB per formula unit
* ΔE_f: -0.43 eV/atom
* space-group type: R-3m
* DOS(E_F): 1.16 states/eV/atom

Unit cell a=9.5193 b=9.5193 c=9.5193 alpha=110.77 beta=110.77 gamma=110.77
Element x y z (fractional)
Pm 0.0000 0.2738 0.7262
Pm 0.0000 0.7262 0.2738
Pm 0.1630 0.4945 0.4945
Pm 0.2738 0.0000 0.7262
Pm 0.2738 0.7262 0.0000
Pm 0.4945 0.1630 0.4945
Pm 0.4945 0.4945 0.1630
Pm 0.5055 0.5055 0.8370
Pm 0.5055 0.8370 0.5055
Pm 0.7262 0.0000 0.2738
Pm 0.7262 0.2738 0.0000
Pm 0.8370 0.5055 0.5055
Y 0.0000 0.0000 0.0000
Sn 0.1365 0.1365 0.4452
Sn 0.1365 0.4452 0.1365
Sn 0.4452 0.1365 0.1365
Sn 0.5000 0.5000 0.5000
Sn 0.5548 0.8635 0.8635
Sn 0.8635 0.5548 0.8635
Sn 0.8635 0.8635 0.5548


DFT (PBE) results for a geometry-optimized Pm2YSn structure.

Summary:
* magnetic moment: 0.01 μB per formula unit
* ΔE_f: -0.25 eV/atom
* space-group type: Fm-3m
* DOS(E_F): 1.75 states/eV/atom
* energy above the lowest structure with this stoichiometry: 189.8 meV/atom

Unit cell a=7.7966 b=7.7966 c=7.7966 alpha=90.00 beta=90.00 gamma=90.00
Element x y z (fractional)
Pm 0.2500 0.2500 0.2500
Pm 0.2500 0.2500 0.7500
Pm 0.2500 0.7500 0.2500
Pm 0.2500 0.7500 0.7500
Pm 0.7500 0.2500 0.2500
Pm 0.7500 0.2500 0.7500
Pm 0.7500 0.7500 0.2500
Pm 0.7500 0.7500 0.7500
Y 0.0000 0.0000 0.0000
Y 0.0000 0.5000 0.5000
Y 0.5000 0.0000 0.5000
Y 0.5000 0.5000 0.0000
Sn 0.0000 0.0000 0.5000
Sn 0.0000 0.5000 0.0000
Sn 0.5000 0.0000 0.0000
Sn 0.5000 0.5000 0.5000


DFT (PBE) results for a geometry-optimized Pm3Y2Sn4 structure.

Summary:
* magnetic moment: 0.90 μB per formula unit
* ΔE_f: -0.62 eV/atom
* space-group type: C2/m
* DOS(E_F): 0.67 states/eV/atom

Unit cell a=6.2319 b=6.2319 c=10.0207 alpha=96.15 beta=96.15 gamma=45.88
Element x y z (fractional)
Pm 0.0000 0.0000 0.0000
Pm 0.3729 0.3729 0.5847
Pm 0.6271 0.6271 0.4153
Y 0.3210 0.3210 0.1929
Y 0.6790 0.6790 0.8071
Sn 0.0861 0.0861 0.6309
Sn 0.3467 0.3467 0.8882
Sn 0.6533 0.6533 0.1118
Sn 0.9139 0.9139 0.3691


DFT (PBE) results for a geometry-optimized Pm6YSn6 structure.

Summary:
* magnetic moment: 0.00 μB per formula unit
* ΔE_f: -0.42 eV/atom
* space-group type: P6/mmm
* DOS(E_F): 1.03 states/eV/atom

Unit cell a=7.3892 b=7.3892 c=9.1643 alpha=90.00 beta=90.00 gamma=120.00
Element x y z (fractional)
Pm 0.0000 0.5000 0.2473
Pm 0.0000 0.5000 0.7527
Pm 0.5000 0.0000 0.2473
Pm 0.5000 0.0000 0.7527
Pm 0.5000 0.5000 0.2473
Pm 0.5000 0.5000 0.7527
Y 0.0000 0.0000 0.5000
Sn 0.0000 0.0000 0.1627
Sn 0.0000 0.0000 0.8373
Sn 0.3333 0.6667 0.0000
Sn 0.3333 0.6667 0.5000
Sn 0.6667 0.3333 0.0000
Sn 0.6667 0.3333 0.5000


DFT (PBE) results for a geometry-optimized PmY2Sn structure.

Summary:
* magnetic moment: 0.00 μB per formula unit
* ΔE_f: -0.41 eV/atom
* space-group type: P2_1/m
* DOS(E_F): 0.97 states/eV/atom
* energy above the lowest structure with this stoichiometry: 20.8 meV/atom

Unit cell a=6.8182 b=5.1883 c=6.9234 alpha=90.00 beta=102.35 gamma=90.00
Element x y z (fractional)
Pm 0.0850 0.2500 0.3546
Pm 0.9150 0.7500 0.6454
Y 0.2312 0.2500 0.8857
Y 0.4211 0.7500 0.6375
Y 0.5789 0.2500 0.3625
Y 0.7688 0.7500 0.1143
Sn 0.2866 0.7500 0.1436
Sn 0.7134 0.2500 0.8564


DFT (PBE) results for a geometry-optimized PmY5Sn4 structure.

Summary:
* magnetic moment: 0.32 μB per formula unit
* ΔE_f: -0.45 eV/atom
* space-group type: C2/m
* DOS(E_F): 1.03 states/eV/atom

Unit cell a=9.2143 b=9.2143 c=8.0560 alpha=101.43 beta=101.43 gamma=28.00
Element x y z (fractional)
Pm 0.0000 0.0000 0.0000
Y 0.0000 0.0000 0.5000
Y 0.2963 0.2963 0.6959
Y 0.3599 0.3599 0.2727
Y 0.6401 0.6401 0.7273
Y 0.7037 0.7037 0.3041
Sn 0.1892 0.1892 0.0121
Sn 0.4652 0.4652 0.7211
Sn 0.5348 0.5348 0.2789
Sn 0.8108 0.8108 0.9879


DFT (PBE) results for a geometry-optimized Pm3Y4Sn4 structure.

Summary:
* magnetic moment: 0.03 μB per formula unit
* ΔE_f: -0.42 eV/atom
* space-group type: Immm
* DOS(E_F): 1.30 states/eV/atom

Unit cell a=17.2126 b=17.2126 c=17.2126 alpha=166.93 beta=163.12 gamma=21.40
Element x y z (fractional)
Pm 0.0000 0.0000 0.0000
Pm 0.3530 0.8530 0.5000
Pm 0.6470 0.1470 0.5000
Y 0.0939 0.5939 0.5000
Y 0.2622 0.2622 0.0000
Y 0.7378 0.7378 0.0000
Y 0.9061 0.4061 0.5000
Sn 0.1841 0.6841 0.5000
Sn 0.4547 0.4547 0.0000
Sn 0.5453 0.5453 0.0000
Sn 0.8159 0.3159 0.5000


DFT (PBE) results for a geometry-optimized Pm3YSn5 structure.

Summary:
* magnetic moment: 0.00 μB per formula unit
* ΔE_f: -0.64 eV/atom
* space-group type: P6_3/mcm
* DOS(E_F): 0.99 states/eV/atom

Unit cell a=9.5221 b=9.5221 c=6.4545 alpha=90.00 beta=90.00 gamma=120.00
Element x y z (fractional)
Pm 0.0000 0.3822 0.2500
Pm 0.0000 0.6178 0.7500
Pm 0.3822 0.0000 0.2500
Pm 0.3822 0.3822 0.7500
Pm 0.6178 0.0000 0.7500
Pm 0.6178 0.6178 0.2500
Y 0.0000 0.0000 0.0000
Y 0.0000 0.0000 0.5000
Sn 0.0000 0.2841 0.7500
Sn 0.0000 0.7159 0.2500
Sn 0.2841 0.0000 0.7500
Sn 0.2841 0.2841 0.2500
Sn 0.3333 0.6667 0.0000
Sn 0.3333 0.6667 0.5000
Sn 0.6667 0.3333 0.0000
Sn 0.6667 0.3333 0.5000
Sn 0.7159 0.0000 0.2500
Sn 0.7159 0.7159 0.7500


magnetic moment of number 6 (Pm2YSn)? 0.01 μB per formula unit


Look up the DOS(E_F) of the tenth one. 1.03 states/eV/atom


Look up the magnetic moment of the first one. 0.00 μB per formula unit


What is the formula in the fifth record? Pm12YSn7